The following is a DFT calculation (GGA-PBE) of a relaxed structure of BeZnAs2.

As for the energy above the most stable polymorph in this dataset: 0.05 eV/f.u.

Cell: 5.577 5.577 6.451 Å, 64.39 64.39 90.00°
Atoms (fractional coordinates):
Be 0.500 0.500 0.000
Be 0.250 0.750 0.500
As 0.586 0.125 0.250
As 0.164 0.625 0.250
As 0.375 0.414 0.750
As 0.875 0.836 0.750
Zn 0.000 0.000 0.000
Zn 0.750 0.250 0.500